# YSn2Ru, optimized geometry, DFT GGA-PBE
data_YSn2Ru
_space_group_name_H-M_alt 'P 1'
_space_group_IT_number 1
_cell_length_a 4.9292
_cell_length_b 4.9292
_cell_length_c 4.9292
_cell_angle_alpha 60.00
_cell_angle_beta 60.00
_cell_angle_gamma 60.00
loop_
_space_group_symop_operation_xyz
'x,y,z'
loop_
_atom_site_label
_atom_site_fract_x
_atom_site_fract_y
_atom_site_fract_z
Ru1 0.5000 0.5000 0.5000
Y1 0.0000 0.0000 0.0000
Sn1 0.2500 0.2500 0.2500
Sn2 0.7500 0.7500 0.7500
# Total energy, eV/atom: -6.16
# Spin magnetization, μB per formula unit: 0.0
# DFT formation energy, eV per formula unit: -0.9
# Symmetry: Fm-3m (225)